This record from Alexandria via LeMat-Bulk describes a geometry-optimized VNiAsO6 structure. The functional is PBE with a Hubbard U.

Total DFT energy (no corrections) = -6.3098 eV/atom
Crystal system = trigonal

Unit cell a=4.9051 b=4.9051 c=8.9333 alpha=90.00 beta=90.00 gamma=120.00
Sites, in units of the cell vectors:
V: 0.3333 0.6667 0.2500
V: 0.6667 0.3333 0.7500
Ni: 0.0000 0.0000 0.0000
Ni: 0.0000 0.0000 0.5000
As: 0.3333 0.6667 0.7500
As: 0.6667 0.3333 0.2500
O: 0.0065 0.3629 0.6355
O: 0.0065 0.6436 0.8645
O: 0.3564 0.3629 0.8645
O: 0.3564 0.9935 0.6355
O: 0.3629 0.0065 0.1355
O: 0.3629 0.3564 0.3645
O: 0.6371 0.6436 0.6355
O: 0.6371 0.9935 0.8645
O: 0.6436 0.0065 0.3645
O: 0.6436 0.6371 0.1355
O: 0.9935 0.3564 0.1355
O: 0.9935 0.6371 0.3645